Record 1
## AcIn2PtAu2 (GGA-PBE)

Data for AcIn2PtAu2 after structural relaxation.

- ΔH_f (0 K): -132.3 meV/atom

Cell: 5.3431 5.3431 11.8333 Å, 90.00 90.00 90.00°
With the nearest neighbours (Å) after each atom.
Space group I4/mmm (No. 139)
Symmetry-distinct sites (fractional):
Ac: 0.0000 0.0000 0.0000  2 Au 3.25
In: 0.0000 0.5000 0.2500  4 Au 2.69
Pt: 0.0000 0.0000 0.5000  2 Au 2.67
Au: 0.0000 0.0000 0.2747  1 Pt 2.67, 4 In 2.69



Record 2
## SrCdCl2 (GGA-PBE)

Data for SrCdCl2 after structural relaxation.

- Formation energy from raw total energies: -0.872 eV/atom
- ΔE to the lowest computed polymorph: 796.1 meV per atom

Cell: 4.5332 4.5332 25.4331 Å, 90.00 90.00 120.00°
With the nearest neighbours (Å) after each atom.
Space group R-3m (No. 166, hexagonal axes)
Symmetry-distinct sites (fractional):
Sr: 0.0000 0.0000 0.0000  2 Cl 2.81
Cd: 0.0000 0.0000 0.5000  6 Cl 2.98
Cl: 0.0000 0.0000 0.1103  1 Sr 2.81, 3 Cd 2.98



Record 3
## Ba3GaAu (GGA-PBE)

Data for Ba3GaAu after structural relaxation.

- ΔH_f (0 K): -144.1 meV/atom
- ΔE to the lowest computed polymorph: 273.5 meV per atom

Cell: 6.3108 6.3108 6.3108 Å, 90.00 90.00 90.00°
With the nearest neighbours (Å) after each atom.
Space group Pm-3m (No. 221)
Symmetry-distinct sites (fractional):
Ba: 0.0000 0.0000 0.5000  2 Au 3.16
Ga: 0.5000 0.5000 0.5000  12 Ba 4.46
Au: 0.0000 0.0000 0.0000  6 Ba 3.16



Record 4
## Dy4NiPd3 (GGA-PBE)

Data for Dy4NiPd3 after structural relaxation.

- ΔH_f (0 K): -795.6 meV/atom

Cell: 3.7593 4.4632 10.4482 Å, 90.00 90.00 90.00°
With the nearest neighbours (Å) after each atom.
Space group Pmm2 (No. 25)
Symmetry-distinct sites (fractional):
Dy: 0.0000 0.0000 0.0000  2 Ni 2.91, 5 Pd 2.94-2.97
Dy: 0.0000 0.5000 0.2682  3 Pd 2.89-2.94, 4 Ni 2.98
Dy: 0.5000 0.0000 0.4857  1 Ni 2.86, 6 Pd 2.98-3.08
Dy: 0.5000 0.5000 0.7709  7 Pd 2.94-3.02
Ni: 0.5000 0.0000 0.2125  2 Pd 2.79, 7 Dy 2.86-2.98
Pd: 0.0000 0.0000 0.7187  2 Pd 2.88, 7 Dy 2.94-3.08
Pd: 0.0000 0.5000 0.5452  2 Pd 2.88, 7 Dy 2.89-3.02
Pd: 0.5000 0.5000 0.0519  2 Ni 2.79, 7 Dy 2.94-2.97



Record 5
## AcIr2O6 (GGA-PBE)

Data for AcIr2O6 after structural relaxation.

- Formation energy from raw total energies: -1.492 eV/atom

Cell: 5.3549 5.3549 5.2810 Å, 90.00 90.00 120.00°
With the nearest neighbours (Å) after each atom.
Space group P-31m (No. 162)
Symmetry-distinct sites (fractional):
Ac: 0.0000 0.0000 0.0000  6 O 2.53
Ir: 0.3333 0.6667 0.5000  6 O 2.01
O: 0.0000 0.3706 0.7038  2 Ir 2.01



Record 6
## TbDy3Er6Sc2 (GGA-PBE)

Data for TbDy3Er6Sc2 after structural relaxation.

- ΔH_f (0 K): 36.4 meV/atom

Cell: 6.0331 10.4384 11.5264 Å, 90.00 100.01 90.00°
With the nearest neighbours (Å) after each atom.
Space group C2/m (No. 12)
Symmetry-distinct sites (fractional):
Tb: 0.0000 0.0000 0.0000  6 Er 3.44, 6 Sc 3.48
Dy: 0.0000 0.1670 0.5000  6 Dy 3.48-3.49, 6 Er 3.52-3.53
Dy: 0.0000 0.5000 0.5000  6 Dy 3.48, 6 Er 3.52-3.53
Er: 0.2460 0.5000 0.2448  2 Sc 3.43, 1 Tb 3.44, 6 Er 3.47-3.51, 3 Dy 3.52-3.53
Er: 0.2496 0.1678 0.2450  2 Sc 3.43, 1 Tb 3.44, 6 Er 3.47-3.51, 3 Dy 3.52-3.53
Sc: 0.0000 0.3332 0.0000  6 Er 3.43, 3 Tb 3.48, 3 Sc 3.48